No. 1
A plane-wave DFT calculation with PBE was carried out for a relaxed structure of NdHfW.

symmetry: F-43m (216)
E_tot: -7.5250 eV per atom
calculated volume: 75 Å³/f.u.
distance to the lowest polymorph of the same formula: 0.9249 eV/atom
M_tot: 0.3 μB/f.u.

abc: 4.7396 4.7396 4.7396
angles: 60.00 60.00 60.00
Last column: nearest neighbours and their distance in Å.
Element x y z (fractional)
Nd 0.0000 0.0000 0.0000  4 Hf 2.90, 4 W 2.90
Hf 0.7500 0.7500 0.7500  4 Nd 2.90
W 0.2500 0.2500 0.2500  4 Nd 2.90

=====

No. 2
A plane-wave DFT calculation with PBE was carried out for a relaxed structure of H2WSe.

symmetry: R3m (160)
E_tot: -5.5482 eV per atom
calculated volume: 41 Å³/f.u.
M_tot: 0.0 μB/f.u.

abc: 4.8082 4.8082 4.8082
angles: 40.06 40.06 40.06
Last column: nearest neighbours and their distance in Å.
Element x y z (fractional)
H 0.0000 0.0000 0.0000  3 H 1.93, 3 W 2.02
H 0.3068 0.3068 0.3068  3 W 1.93, 3 H 1.93
W 0.6161 0.6161 0.6161  6 H 1.93-2.02
Se 0.8102 0.8102 0.8102  4 H 2.51-2.69, 4 W 2.57-2.65

=====

No. 3
A plane-wave DFT calculation with PBE was carried out for a relaxed structure of Li4InGePt2.

symmetry: P-4m2 (115)
E_tot: -3.9994 eV per atom
calculated volume: 119 Å³/f.u.
M_tot: 0.0 μB/f.u.

abc: 4.3387 4.3387 6.3041
angles: 90.00 90.00 90.00
Last column: nearest neighbours and their distance in Å.
Element x y z (fractional)
Li 0.0000 0.0000 0.0000  4 Li 2.76, 4 Pt 2.78, 4 In 3.07
Li 0.0000 0.5000 0.7297  2 Ge 2.61, 4 Li 2.61-2.76, 2 In 2.76, 1 Pt 2.86
Li 0.5000 0.0000 0.2703  2 Ge 2.61, 4 Li 2.61-2.76, 2 In 2.76, 1 Pt 2.86
Li 0.5000 0.5000 0.5000  4 Pt 2.59, 4 Li 2.61
In 0.5000 0.5000 0.0000  8 Li 2.76-3.07, 4 Pt 2.78
Ge 0.0000 0.0000 0.5000  4 Pt 2.59, 4 Li 2.61
Pt 0.0000 0.5000 0.2765  2 Ge 2.59, 5 Li 2.59-2.86, 2 In 2.78
Pt 0.5000 0.0000 0.7235  2 Ge 2.59, 5 Li 2.59-2.86, 2 In 2.78

=====

No. 4
A plane-wave DFT calculation with PBE was carried out for a relaxed structure of Ta2TlPd.

symmetry: F-43m (216)
E_tot: -7.3956 eV per atom
calculated volume: 75 Å³/f.u.
M_tot: 0.0 μB/f.u.

abc: 4.7249 4.7249 4.7249
angles: 60.00 60.00 60.00
Last column: nearest neighbours and their distance in Å.
Element x y z (fractional)
Ta 0.0000 0.0000 0.0000  4 Pd 2.89, 4 Ta 2.89
Ta 0.2500 0.2500 0.2500  4 Tl 2.89, 4 Ta 2.89
Tl 0.5000 0.5000 0.5000  4 Pd 2.89, 4 Ta 2.89
Pd 0.7500 0.7500 0.7500  4 Ta 2.89, 4 Tl 2.89

=====

No. 5
A plane-wave DFT calculation with PBE was carried out for a relaxed structure of CoHgPd.

symmetry: F-43m (216)
E_tot: -3.7839 eV per atom
calculated volume: 54 Å³/f.u.
M_tot: 1.9 μB/f.u.

abc: 4.2483 4.2483 4.2483
angles: 60.00 60.00 60.00
Last column: nearest neighbours and their distance in Å.
Element x y z (fractional)
Co 0.0000 0.0000 0.0000  4 Hg 2.60, 4 Pd 2.60
Hg 0.7500 0.7500 0.7500  4 Co 2.60
Pd 0.2500 0.2500 0.2500  4 Co 2.60

=====

No. 6
A plane-wave DFT calculation with PBE was carried out for a relaxed structure of ZrHg2Bi.

symmetry: F-43m (216)
E_tot: -3.1375 eV per atom
calculated volume: 100 Å³/f.u.
M_tot: 0.0 μB/f.u.

abc: 5.2160 5.2160 5.2160
angles: 60.00 60.00 60.00
Last column: nearest neighbours and their distance in Å.
Element x y z (fractional)
Zr 0.0000 0.0000 0.0000  4 Bi 3.19, 4 Hg 3.19
Hg 0.2500 0.2500 0.2500  4 Hg 3.19, 4 Zr 3.19
Hg 0.5000 0.5000 0.5000  4 Hg 3.19, 4 Bi 3.19
Bi 0.7500 0.7500 0.7500  4 Hg 3.19, 4 Zr 3.19

=====

No. 7
A plane-wave DFT calculation with PBE was carried out for a relaxed structure of Na4TlZn2In.

symmetry: P-4m2 (115)
E_tot: -1.6521 eV per atom
calculated volume: 187 Å³/f.u.

abc: 5.0964 5.0964 7.1997
angles: 90.00 90.00 90.00
Last column: nearest neighbours and their distance in Å.
Element x y z (fractional)
Na 0.0000 0.0000 0.0000  4 Zn 3.10, 4 Na 3.12
Na 0.0000 0.5000 0.2502  2 Tl 3.12, 4 Na 3.12, 2 In 3.12
Na 0.5000 0.0000 0.7498  2 Tl 3.12, 4 Na 3.12, 2 In 3.12
Na 0.5000 0.5000 0.5000  4 Na 3.12, 4 Zn 3.14
Tl 0.0000 0.0000 0.5000  4 Na 3.12, 4 Zn 3.14
Zn 0.0000 0.5000 0.7554  2 In 3.10, 4 Na 3.10-3.14, 2 Tl 3.14
Zn 0.5000 0.0000 0.2446  2 In 3.10, 4 Na 3.10-3.14, 2 Tl 3.14
In 0.5000 0.5000 0.0000  4 Zn 3.10, 4 Na 3.12

=====

No. 8
A plane-wave DFT calculation with PBE was carried out for a relaxed structure of SrOsNO.

symmetry: Pca2_1 (29)
E_tot: -7.3990 eV per atom
calculated volume: 58 Å³/f.u.
distance to the lowest polymorph of the same formula: 0.0000 eV/atom
M_tot: 0.0 μB/f.u.

abc: 5.2637 8.4535 5.2403
angles: 90.00 90.00 90.00
Last column: nearest neighbours and their distance in Å.
Element x y z (fractional)
Sr 0.0095 0.1480 0.0000  1 N 2.40, 3 O 2.50-2.52
Sr 0.4905 0.1480 0.5000  1 N 2.40, 3 O 2.50-2.52
Sr 0.5095 0.8520 0.0000  1 N 2.40, 3 O 2.50-2.52
Sr 0.9905 0.8520 0.5000  1 N 2.40, 3 O 2.50-2.52
Os 0.0211 0.5671 0.0309  3 N 1.93-1.98
Os 0.4789 0.5671 0.5309  3 N 1.93-1.98
Os 0.5211 0.4329 0.0309  3 N 1.93-1.98
Os 0.9789 0.4329 0.5309  3 N 1.93-1.98
N 0.1452 0.6119 0.6892  3 Os 1.93-1.98
N 0.3548 0.6119 0.1892  3 Os 1.93-1.98
N 0.6452 0.3881 0.6892  3 Os 1.93-1.98
N 0.8548 0.3881 0.1892  3 Os 1.93-1.98
O 0.0161 0.1495 0.5238  1 Os 2.40, 3 Sr 2.50-2.52
O 0.4839 0.1495 0.0238  1 Os 2.40, 3 Sr 2.50-2.52
O 0.5161 0.8505 0.5238  1 Os 2.40, 3 Sr 2.50-2.52
O 0.9839 0.8505 0.0238  1 Os 2.40, 3 Sr 2.50-2.52

=====

No. 9
A plane-wave DFT calculation with PBE was carried out for a relaxed structure of PrSmNi2Pb.

symmetry: Amm2 (38)
E_tot: -5.3173 eV per atom
calculated volume: 112 Å³/f.u.
M_tot: 0.0 μB/f.u.

abc: 3.7882 7.5362 7.5362
angles: 31.30 90.00 90.00
Last column: nearest neighbours and their distance in Å.
Element x y z (fractional)
Pr 0.0000 0.0000 0.0000  6 Ni 2.94-3.02
Sm 0.0000 0.2769 0.2769  6 Ni 2.92-2.96
Ni 0.5000 0.4334 0.4334  2 Ni 2.46
Ni 0.5000 0.8383 0.8383  2 Ni 2.46
Pb 0.5000 0.6404 0.6404  2 Ni 2.87-3.00

=====

No. 10
A plane-wave DFT calculation with PBE was carried out for a relaxed structure of NaErTa.

symmetry: F-43m (216)
E_tot: -4.1703 eV per atom
calculated volume: 92 Å³/f.u.
M_tot: 3.4 μB/f.u.

abc: 5.0592 5.0592 5.0592
angles: 60.00 60.00 60.00
Last column: nearest neighbours and their distance in Å.
Element x y z (fractional)
Na 0.0000 0.0000 0.0000  4 Er 3.10
Er 0.2500 0.2500 0.2500  4 Ta 3.10, 4 Na 3.10
Ta 0.5000 0.5000 0.5000  4 Er 3.10

=====

No. 11
A plane-wave DFT calculation with PBE was carried out for a relaxed structure of Gd11In9Ni4.

symmetry: Cmmm (65)
E_tot: -4.6125 eV per atom
calculated volume: 585 Å³/f.u.
M_tot: 0.0 μB/f.u.

abc: 13.1251 13.1251 3.6808
angles: 90.00 90.00 112.67
Last column: nearest neighbours and their distance in Å.
Element x y z (fractional)
Gd 0.0000 0.0000 0.0000  8 In 3.23, 2 Gd 3.52
Gd 0.0795 0.4167 0.0000  2 Ni 2.78
Gd 0.1611 0.8389 0.0000  8 In 3.27-3.46, 3 Gd 3.52-3.61
Gd 0.3121 0.3121 0.0000  4 Ni 2.92
Gd 0.3746 0.6254 0.0000  4 Ni 2.92
Gd 0.4167 0.0795 0.0000  2 Ni 2.78
Gd 0.5833 0.9205 0.0000  2 Ni 2.78
Gd 0.6254 0.3746 0.0000  4 Ni 2.92
Gd 0.6879 0.6879 0.0000  4 Ni 2.92
Gd 0.8389 0.1611 0.0000  8 In 3.27-3.46, 3 Gd 3.52-3.61
Gd 0.9205 0.5833 0.0000  2 Ni 2.78
In 0.0779 0.2194 0.5000  1 Ni 2.98, 1 In 3.09, 4 Gd 3.17-3.23
In 0.1592 0.6321 0.5000  1 In 3.04, 1 Ni 3.04, 4 Gd 3.19-3.27
In 0.2194 0.0779 0.5000  1 Ni 2.98, 1 In 3.09, 4 Gd 3.17-3.23
In 0.3679 0.8408 0.5000  1 In 3.04, 1 Ni 3.04, 4 Gd 3.19-3.27
In 0.5000 0.5000 0.5000  4 Ni 3.12, 8 Gd 3.30
In 0.6321 0.1592 0.5000  1 In 3.04, 1 Ni 3.04, 4 Gd 3.19-3.27
In 0.7806 0.9221 0.5000  1 Ni 2.98, 1 In 3.09, 4 Gd 3.17-3.23
In 0.8408 0.3679 0.5000  1 In 3.04, 1 Ni 3.04, 4 Gd 3.19-3.27
In 0.9221 0.7806 0.5000  1 Ni 2.98, 1 In 3.09, 4 Gd 3.17-3.23
Ni 0.2477 0.4491 0.5000  6 Gd 2.78-2.92, 2 In 2.98-3.04
Ni 0.4491 0.2477 0.5000  6 Gd 2.78-2.92, 2 In 2.98-3.04
Ni 0.5509 0.7523 0.5000  6 Gd 2.78-2.92, 2 In 2.98-3.04
Ni 0.7523 0.5509 0.5000  6 Gd 2.78-2.92, 2 In 2.98-3.04

=====

No. 12
A plane-wave DFT calculation with PBE was carried out for a relaxed structure of Li4Cu2SnPb.

symmetry: P-4m2 (115)
E_tot: -3.1121 eV per atom
calculated volume: 127 Å³/f.u.

abc: 4.4798 4.4798 6.3126
angles: 90.00 90.00 90.00
Last column: nearest neighbours and their distance in Å.
Element x y z (fractional)
Li 0.0000 0.0000 0.0000  4 Li 2.76, 4 Cu 2.80
Li 0.0000 0.5000 0.7456  4 Li 2.72-2.76, 2 Sn 2.72, 2 Pb 2.76, 1 Cu 3.03
Li 0.5000 0.0000 0.2544  4 Li 2.72-2.76, 2 Sn 2.72, 2 Pb 2.76, 1 Cu 3.03
Li 0.5000 0.5000 0.5000  4 Cu 2.69, 4 Li 2.72
Cu 0.0000 0.5000 0.2649  4 Li 2.69-2.80, 2 Sn 2.69, 2 Pb 2.80
Cu 0.5000 0.0000 0.7351  4 Li 2.69-2.80, 2 Sn 2.69, 2 Pb 2.80
Sn 0.0000 0.0000 0.5000  4 Cu 2.69, 4 Li 2.72
Pb 0.5000 0.5000 0.0000  4 Li 2.76, 4 Cu 2.80

=====

No. 13
A plane-wave DFT calculation with PBE was carried out for a relaxed structure of Sc2CuAu.

symmetry: P4/mmm (123)
E_tot: -5.4573 eV per atom
calculated volume: 74 Å³/f.u.
distance to the lowest polymorph of the same formula: 0.0011 eV/atom
M_tot: 0.0 μB/f.u.

abc: 3.3385 3.3385 6.6546
angles: 90.00 90.00 90.00
Last column: nearest neighbours and their distance in Å.
Element x y z (fractional)
Sc 0.0000 0.0000 0.2381  4 Cu 2.84, 4 Au 2.93, 1 Sc 3.17
Sc 0.0000 0.0000 0.7619  4 Cu 2.84, 4 Au 2.93, 1 Sc 3.17
Cu 0.5000 0.5000 0.0000  8 Sc 2.84
Au 0.5000 0.5000 0.5000  8 Sc 2.93

=====

No. 14
A plane-wave DFT calculation with PBE was carried out for a relaxed structure of AcSn2Pt2.

symmetry: P4/nmm (129)
E_tot: -5.7470 eV per atom
calculated volume: 120 Å³/f.u.
M_tot: 0.0 μB/f.u.

abc: 4.7348 4.7348 10.6650
angles: 90.00 90.00 90.00
Last column: nearest neighbours and their distance in Å.
Element x y z (fractional)
Ac 0.2500 0.2500 0.2407  8 Pt 3.49-3.63, 9 Sn 3.57-3.89
Ac 0.7500 0.7500 0.7593  8 Pt 3.49-3.63, 9 Sn 3.57-3.89
Sn 0.2500 0.2500 0.8758  5 Pt 2.65-2.71
Sn 0.2500 0.7500 0.5000  4 Pt 2.73
Sn 0.7500 0.2500 0.5000  4 Pt 2.73
Sn 0.7500 0.7500 0.1242  5 Pt 2.65-2.71
Pt 0.2500 0.2500 0.6270  5 Sn 2.65-2.73
Pt 0.2500 0.7500 0.0000  4 Sn 2.71
Pt 0.7500 0.2500 0.0000  4 Sn 2.71
Pt 0.7500 0.7500 0.3730  5 Sn 2.65-2.73

=====

No. 15
A plane-wave DFT calculation with PBE was carried out for a relaxed structure of FeOs.

symmetry: F-43m (216)
E_tot: -8.4494 eV per atom
calculated volume: 35 Å³/f.u.
M_tot: 0.0 μB/f.u.

abc: 3.6807 3.6807 3.6807
angles: 60.00 60.00 60.00
Last column: nearest neighbours and their distance in Å.
Element x y z (fractional)
Fe 0.0000 0.0000 0.0000  4 Os 2.25
Os 0.7500 0.7500 0.7500  4 Fe 2.25

=====

No. 16
A plane-wave DFT calculation with PBE was carried out for a relaxed structure of TaAlOs2.

symmetry: P6_3/mmc (194)
E_tot: -9.7409 eV per atom
calculated volume: 65 Å³/f.u.
distance to the lowest polymorph of the same formula: 0.3227 eV/atom
M_tot: 0.0 μB/f.u.

abc: 4.2225 4.2225 8.3966
angles: 90.00 90.00 120.00
Last column: nearest neighbours and their distance in Å.
Element x y z (fractional)
Ta 0.3333 0.6667 0.2500  8 Os 2.74-2.95
Ta 0.6667 0.3333 0.7500  8 Os 2.74-2.95
Al 0.0000 0.0000 0.0000  6 Os 2.58
Al 0.0000 0.0000 0.5000  6 Os 2.58
Os 0.3333 0.6667 0.6018  1 Os 2.49, 3 Al 2.58, 3 Ta 2.74
Os 0.3333 0.6667 0.8982  1 Os 2.49, 3 Al 2.58, 3 Ta 2.74
Os 0.6667 0.3333 0.1018  1 Os 2.49, 3 Al 2.58, 3 Ta 2.74
Os 0.6667 0.3333 0.3982  1 Os 2.49, 3 Al 2.58, 3 Ta 2.74

=====

No. 17
A plane-wave DFT calculation with PBE was carried out for a relaxed structure of HoTmGa2.

symmetry: Cmcm (63)
E_tot: -4.3458 eV per atom
calculated volume: 88 Å³/f.u.
M_tot: 0.0 μB/f.u.

abc: 6.1264 6.1264 5.0034
angles: 90.00 90.00 109.66
Last column: nearest neighbours and their distance in Å.
Element x y z (fractional)
Ho 0.1237 0.8763 0.7500  8 Ga 3.05-3.07
Ho 0.8763 0.1237 0.2500  8 Ga 3.05-3.07
Tm 0.3753 0.6247 0.2500  8 Ga 3.05-3.07
Tm 0.6247 0.3753 0.7500  8 Ga 3.05-3.07
Ga 0.1265 0.3788 0.7500  4 Tm 3.05-3.07, 4 Ho 3.05-3.07
Ga 0.3788 0.1265 0.2500  4 Tm 3.05-3.07, 4 Ho 3.05-3.07
Ga 0.6212 0.8735 0.7500  4 Tm 3.05-3.07, 4 Ho 3.05-3.07
Ga 0.8735 0.6212 0.2500  4 Tm 3.05-3.07, 4 Ho 3.05-3.07

=====

No. 18
A plane-wave DFT calculation with PBE was carried out for a relaxed structure of LiNdHgO3.

symmetry: Cmcm (63)
E_tot: -5.3503 eV per atom
calculated volume: 76 Å³/f.u.
M_tot: 0.0 μB/f.u.

abc: 4.6279 4.6279 9.8888
angles: 90.00 90.00 133.75
Last column: nearest neighbours and their distance in Å.
Element x y z (fractional)
Li 0.0490 0.9510 0.7500  4 O 1.84-2.01
Li 0.9510 0.0490 0.2500  4 O 1.84-2.01
Nd 0.5000 0.5000 0.0000  6 O 2.38-2.51
Nd 0.5000 0.5000 0.5000  6 O 2.38-2.51
Hg 0.2410 0.7590 0.2500  7 O 2.43-2.65, 3 Li 2.47-2.55
Hg 0.7590 0.2410 0.7500  7 O 2.43-2.65, 3 Li 2.47-2.55
O 0.1515 0.8485 0.5859  1 Li 1.84
O 0.1515 0.8485 0.9141  1 Li 1.84
O 0.4482 0.5518 0.7500  2 Li 2.01
O 0.5518 0.4482 0.2500  2 Li 2.01
O 0.8485 0.1515 0.0859  1 Li 1.84
O 0.8485 0.1515 0.4141  1 Li 1.84

=====

No. 19
A plane-wave DFT calculation with PBE was carried out for a relaxed structure of PrTaBi.

symmetry: F-43m (216)
E_tot: -5.8236 eV per atom
calculated volume: 100 Å³/f.u.
distance to the lowest polymorph of the same formula: 0.4806 eV/atom
M_tot: 3.3 μB/f.u.

abc: 5.2161 5.2161 5.2161
angles: 60.00 60.00 60.00
Last column: nearest neighbours and their distance in Å.
Element x y z (fractional)
Pr 0.0000 0.0000 0.0000  4 Ta 3.19, 4 Bi 3.19
Ta 0.2500 0.2500 0.2500  4 Pr 3.19
Bi 0.7500 0.7500 0.7500  4 Pr 3.19

=====

No. 20
A plane-wave DFT calculation with PBE was carried out for a relaxed structure of Tc2Ge.

symmetry: Fd-3m (227)
E_tot: -7.9699 eV per atom
calculated volume: 49 Å³/f.u.
distance to the lowest polymorph of the same formula: 0.6008 eV/atom
M_tot: 0.0 μB/f.u.

abc: 5.1579 5.1579 5.1579
angles: 60.00 60.00 60.00
Last column: nearest neighbours and their distance in Å.
Element x y z (fractional)
Tc 0.0000 0.0000 0.0000  6 Tc 2.58
Tc 0.0000 0.0000 0.5000  6 Tc 2.58
Tc 0.0000 0.5000 0.0000  6 Tc 2.58
Tc 0.5000 0.0000 0.0000  6 Tc 2.58
Ge 0.3750 0.3750 0.3750  12 Tc 3.02, 4 Ge 3.16
Ge 0.6250 0.6250 0.6250  12 Tc 3.02, 4 Ge 3.16